# Ti4In2N PBE relaxed
data_Ti4In2N
_chemical_formula_sum 'Ti4 In2 N1'
_space_group_name_H-M_alt 'P 1'
_space_group_IT_number 1
_cell_length_a 7.783
_cell_length_b 7.783
_cell_length_c 7.783
_cell_angle_alpha 149.34
_cell_angle_beta 149.34
_cell_angle_gamma 43.91
loop_
_space_group_symop_operation_xyz
'x,y,z'
loop_
_atom_site_label
_atom_site_type_symbol
_atom_site_fract_x
_atom_site_fract_y
_atom_site_fract_z
_atom_site_occupancy
Ti1 Ti 0.000 0.500 0.500 1
Ti2 Ti 0.145 0.145 0.000 1
Ti3 Ti 0.500 0.000 0.500 1
Ti4 Ti 0.855 0.855 0.000 1
In1 In 0.349 0.349 0.000 1
In2 In 0.651 0.651 0.000 1
N1 N 0.000 0.000 0.000 1
# Uncorrected energy: -7.060 eV per atom
# Symmetry: I4/mmm (139)